# 1
MnBeCd3: PBEsol geometry, SCAN.

## Properties
ΔE_f: 183.8 kJ/mol of formula units
density of states at the Fermi level: 0.36 states/eV/atom

abc: 4.556 4.556 4.556
angles: 90.00 90.00 90.00
Space group Pm-3m (No. 221)
Inequivalent atoms, fractional coordinates:
Mn: 0.000 0.000 0.000 [1 per cell]
Be: 0.500 0.500 0.500 [1 per cell]
Cd: 0.000 0.500 0.500 [3 per cell]

---

# 2
MnBeCd: PBEsol geometry, SCAN.

## Properties
ΔE_f: 66.4 kJ/mol of formula units
density of states at the Fermi level: 0.36 states/eV/atom

abc: 5.619 5.619 5.619
angles: 90.00 90.00 90.00
Space group F-43m (No. 216)
Inequivalent atoms, fractional coordinates:
Mn: 0.000 0.000 0.000 [4 per cell]
Be: 0.250 0.250 0.750 [4 per cell]
Cd: 0.000 0.000 0.500 [4 per cell]

---

# 3
MnBe2Cd: PBEsol geometry, SCAN.

## Properties
ΔE_f: 231.2 kJ/mol of formula units
density of states at the Fermi level: 0.49 states/eV/atom

abc: 3.695 3.695 16.300
angles: 90.00 90.00 90.00
Space group I-42d (No. 122)
Inequivalent atoms, fractional coordinates:
Mn: 0.000 0.000 0.000 [4 per cell]
Be: 0.167 0.250 0.125 [8 per cell]
Cd: 0.000 0.000 0.500 [4 per cell]

---

# 4
MnBe2Cd: PBEsol geometry, SCAN.

## Properties
ΔE_f: 42.9 kJ/mol of formula units
density of states at the Fermi level: 0.40 states/eV/atom

abc: 2.723 2.723 6.350
angles: 90.00 90.00 90.00
Space group P4mm (No. 99)
Inequivalent atoms, fractional coordinates:
Mn: 0.000 0.000 0.000 [1 per cell]
Be: 0.000 0.000 0.381 [1 per cell]
Be: 0.500 0.500 0.206 [1 per cell]
Cd: 0.500 0.500 0.673 [1 per cell]

---

# 5
MnBe2CdO: PBEsol geometry, SCAN.

## Properties
total energy: -57.868 eV/cell
density of states at the Fermi level: 0.46 states/eV/atom

abc: 4.278 4.278 5.069
angles: 90.00 90.00 90.00
Space group P4/mmm (No. 123)
Inequivalent atoms, fractional coordinates:
Mn: 0.000 0.000 0.000 [1 per cell]
Be: 0.000 0.500 0.500 [2 per cell]
Cd: 0.000 0.000 0.500 [1 per cell]
O: 0.500 0.500 0.000 [1 per cell]

---

# 6
BeCd2Mo: PBEsol geometry, SCAN.

## Properties
ΔE_f: 134.4 kJ/mol of formula units
density of states at the Fermi level: 0.46 states/eV/atom

abc: 3.800 2.844 11.819
angles: 90.00 90.00 90.00
Space group Amm2 (No. 38)
Inequivalent atoms, fractional coordinates:
Be: 0.000 0.000 0.000 [2 per cell]
Cd: 0.000 0.000 0.212 [2 per cell]
Cd: 0.500 0.000 0.853 [2 per cell]
Mo: 0.500 0.000 0.569 [2 per cell]